ReIrAu2: relaxed, GGA-PBE.

Cell lengths 4.0062, 4.0062, 8.0187 Å; angles 90.00, 90.00, 90.00 degrees
Space group I4/mmm (No. 139)
Asymmetric unit:
Re 0.0000 0.0000 0.0000
Ir 0.0000 0.0000 0.5000
Au 0.0000 0.5000 0.2500

Output
E_form in eV/atom: 0.60

---

InBrCl: relaxed, GGA-PBE.

Cell lengths 7.2342, 7.2342, 7.2342 Å; angles 90.00, 90.00, 90.00 degrees
Space group F-43m (No. 216)
Asymmetric unit:
In 0.0000 0.0000 0.0000
Br 0.2500 0.2500 0.2500
Cl 0.0000 0.0000 0.5000

Output
Raw formation energy in eV/atom: -0.2492

---

Np2MnB10: relaxed, GGA-PBE.

Cell lengths 5.5726, 11.1111, 4.1149 Å; angles 90.00, 90.00, 90.00 degrees
Space group Pbam (No. 55)
Asymmetric unit:
Np 0.2106 0.1323 0.0000
Mn 0.0000 0.5000 0.5000
B 0.0418 0.3115 0.5000
B 0.1257 0.9609 0.5000
B 0.1444 0.8026 0.5000
B 0.2098 0.3855 0.1991

Output
E_form in eV/atom: -0.34

---

Sc3NbTc: relaxed, GGA-PBE.

Cell lengths 4.9198, 4.9198, 4.9198 Å; angles 90.00, 90.00, 90.00 degrees
Space group Pm-3m (No. 221)
Asymmetric unit:
Sc 0.0000 0.0000 0.5000
Nb 0.0000 0.0000 0.0000
Tc 0.5000 0.5000 0.5000

Output
E_form in eV/atom: 1.13

---

Sm2Hf4Ge3N2: relaxed, GGA-PBE.

Cell lengths 4.3284, 4.3284, 23.1350 Å; angles 90.00, 90.00, 90.00 degrees
Space group I4/mmm (No. 139)
Asymmetric unit:
Sm 0.0000 0.0000 0.1950
Hf 0.0000 0.5000 0.0773
Ge 0.0000 0.0000 0.3317
Ge 0.0000 0.0000 0.5000
N 0.0000 0.0000 0.0863

Output
Raw formation energy in eV/atom: -1.0234

---

MgZrCu2Br: relaxed, GGA-PBE.

Cell lengths 4.6656, 4.6656, 4.9927 Å; angles 90.00, 90.00, 90.00 degrees
Space group P4/mmm (No. 123)
Asymmetric unit:
Mg 0.0000 0.0000 0.0000
Zr 0.5000 0.5000 0.0000
Cu 0.0000 0.5000 0.5000
Br 0.0000 0.0000 0.5000

Output
Raw formation energy in eV/atom: 0.8697

---

BeSnP2Cl: relaxed, GGA-PBE.

Cell lengths 4.2153, 4.2153, 5.5588 Å; angles 90.00, 90.00, 90.00 degrees
Space group P4/mmm (No. 123)
Asymmetric unit:
Be 0.0000 0.0000 0.0000
Sn 0.5000 0.5000 0.5000
P 0.0000 0.5000 0.0000
Cl 0.0000 0.0000 0.5000

Output
Raw formation energy in eV/atom: 0.2306

---

Na2IrBr6: relaxed, GGA-PBE.

Cell lengths 7.0334, 7.3073, 12.0829 Å; angles 90.00, 123.47, 90.00 degrees
Space group P2_1/c (No. 14)
Asymmetric unit:
Na 0.1993 0.0977 0.2301
Ir 0.5000 0.0000 0.0000
Br 0.1557 0.1853 0.9418
Br 0.2759 0.7121 0.9498
Br 0.3833 0.0177 0.7637

Output
Raw formation energy in eV/atom: -0.7907

---

Li2NdSc: relaxed, GGA-PBE.

Cell lengths 3.6247, 3.6247, 7.3938 Å; angles 90.00, 90.00, 90.00 degrees
Space group P4/mmm (No. 123)
Asymmetric unit:
Li 0.0000 0.0000 0.2273
Nd 0.5000 0.5000 0.5000
Sc 0.5000 0.5000 0.0000

Output
E_form in eV/atom: 0.19

---

K2PuAg2O6: relaxed, GGA-PBE.

Cell lengths 6.5922, 9.5067, 6.9004 Å; angles 90.00, 116.09, 90.00 degrees
Space group C2/m (No. 12)
Asymmetric unit:
K 0.0000 0.1845 0.0000
Pu 0.0000 0.0000 0.5000
Ag 0.0000 0.3375 0.5000
O 0.1779 0.1477 0.7114
O 0.2263 0.0000 0.3478

Output
Raw formation energy in eV/atom: -1.4582

---

Tb2Cd7: relaxed, GGA-PBE.

Cell lengths 5.0612, 5.0612, 9.5146 Å; angles 90.00, 90.00, 120.00 degrees
Space group P-3m1 (No. 164)
Asymmetric unit:
Tb 0.3333 0.6667 0.2839
Cd 0.0000 0.0000 0.1583
Cd 0.0000 0.0000 0.5000
Cd 0.3333 0.6667 0.6080
Cd 0.3333 0.6667 0.9331

Output
E_form in eV/atom: -0.21

---

InMoPt2: relaxed, GGA-PBE.

Cell lengths 2.9154, 2.9154, 27.5607 Å; angles 90.00, 90.00, 120.00 degrees
Space group R3m (No. 160, hexagonal axes)
Asymmetric unit:
In 0.0000 0.0000 0.0000
Mo 0.0000 0.0000 0.2457
Pt 0.0000 0.0000 0.5019
Pt 0.0000 0.0000 0.7500

Output
E_form in eV/atom: 0.00

---

Pu2CN6: relaxed, GGA-PBE.

Cell lengths 3.6190, 8.2617, 8.2982 Å; angles 104.84, 102.55, 102.45 degrees
Space group P-1 (No. 2)
Asymmetric unit:
Pu 0.2326 0.0928 0.3734
C 0.5000 0.0000 0.0000
N 0.1732 0.8726 0.4720
N 0.3998 0.9606 0.8396
N 0.4493 0.4261 0.4736

Output
Raw formation energy in eV/atom: -0.4639

---

TaAgMo2: relaxed, GGA-PBE.

Cell lengths 2.6917, 4.3403, 5.7857 Å; angles 90.00, 90.00, 90.00 degrees
Space group Pmm2 (No. 25)
Asymmetric unit:
Ta 0.0000 0.0000 0.0000
Ag 0.5000 0.5000 0.2536
Mo 0.0000 0.0000 0.5130
Mo 0.5000 0.5000 0.7461

Output
E_form in eV/atom: 0.37

---

Cs3K9Rb2: relaxed, GGA-PBE.

Cell lengths 7.5896, 14.5203, 22.2719 Å; angles 90.00, 90.00, 90.00 degrees
Space group Immm (No. 71)
Asymmetric unit:
Cs 0.0000 0.0000 0.0000
Cs 0.0000 0.0000 0.2942
K 0.0000 0.2837 0.1344
K 0.0000 0.3539 0.3249
K 0.0000 0.5000 0.0000
Rb 0.0000 0.1899 0.5000

Output
E_form in eV/atom: 0.03

---

InCo2Os: relaxed, GGA-PBE.

Cell lengths 2.9204, 4.3815, 8.7745 Å; angles 90.00, 90.00, 90.00 degrees
Space group Imm2 (No. 44)
Asymmetric unit:
In 0.0000 0.0000 0.0000
Co 0.0000 0.0000 0.5153
Co 0.0000 0.5000 0.2428
Os 0.0000 0.5000 0.7741

Output
E_form in eV/atom: 0.37

---

CrHgSe2: relaxed, GGA-PBE.

Cell lengths 6.9275, 6.9275, 6.9275 Å; angles 90.00, 90.00, 90.00 degrees
Space group F-43m (No. 216)
Asymmetric unit:
Cr 0.0000 0.0000 0.0000
Hg 0.2500 0.2500 0.2500
Se 0.0000 0.0000 0.5000
Se 0.2500 0.2500 0.7500

Output
Raw formation energy in eV/atom: 0.4456

---

Tl3SbTe3: relaxed, GGA-PBE.

Cell lengths 9.4373, 14.1932, 8.5513 Å; angles 90.00, 93.44, 90.00 degrees
Space group C2/m (No. 12)
Asymmetric unit:
Tl 0.0000 0.1637 0.0000
Tl 0.0000 0.2139 0.5000
Tl 0.1289 0.5000 0.1516
Sb 0.2450 0.5000 0.6218
Te 0.0382 0.0000 0.7262
Te 0.1498 0.3484 0.8043

Output
Raw formation energy in eV/atom: -0.1753

---

CaPrErTm: relaxed, GGA-PBE.

Cell lengths 8.1553, 8.1553, 8.1553 Å; angles 90.00, 90.00, 90.00 degrees
Space group F-43m (No. 216)
Asymmetric unit:
Ca 0.0000 0.0000 0.0000
Pr 0.2500 0.2500 0.2500
Er 0.2500 0.2500 0.7500
Tm 0.0000 0.0000 0.5000

Output
E_form in eV/atom: 0.14

---

EuGaAg2: relaxed, GGA-PBE.

Cell lengths 4.6145, 4.6145, 15.2745 Å; angles 90.00, 90.00, 120.00 degrees
Space group R-3m (No. 166, hexagonal axes)
Asymmetric unit:
Eu 0.0000 0.0000 0.0000
Ga 0.0000 0.0000 0.5000
Ag 0.0000 0.0000 0.2084

Output
E_form in eV/atom: -0.24

---

Calculated values (eV/f.u.) of raw total energy for the records, taken in order: -25.470, -7.005, -106.230, -33.782, -91.012, -15.659, -19.242, -28.653, -14.185, -68.019, -17.583, -25.654, -92.015, -34.888, -13.891, -26.718, -15.112, -21.873, -15.270, -19.967.
Calculated values (μB/f.u.) of size of the total moment for the records, taken in order: 0.00, 0.00, 6.13, 2.25, 0.00, 0.61, 0.00, 1.04, 0.01, 0.03, 0.00, 0.00, 8.00, 0.00, 0.00, 3.45, 3.83, 0.00, 0.00, 7.15.